VASP calculation (PBE) on a relaxed structure of UTi3. Values from VASP.

Summary:
Raw total energy, eV per atom: -8.501
SG: No. 221
E above lowest polymorph, eV/f.u.: 0.561

Cell and atoms, written as Quantum ESPRESSO input:
```
&SYSTEM
  ibrav = 0, nat = 4, ntyp = 2
/
ATOMIC_SPECIES
Ti 47.87 Ti.upf
U 238.03 U.upf
CELL_PARAMETERS angstrom
-2.078 0.355 3.625
0.753 -4.042 0.828
3.564 1.061 1.939
ATOMIC_POSITIONS crystal
Ti 0.500 0.500 0.000
Ti 0.000 0.500 0.500
Ti 0.500 0.000 0.500
U 0.000 0.000 0.000
```

---

VASP calculation (PBE) on a relaxed structure of Tb2SmY6Er3. Values from VASP.

Summary:
Raw total energy, eV per atom: -5.516
SG: No. 12

Cell and atoms, written as Quantum ESPRESSO input:
```
&SYSTEM
  ibrav = 0, nat = 12, ntyp = 4
/
ATOMIC_SPECIES
Tb 158.93 Tb.upf
Er 167.26 Er.upf
Y 88.91 Y.upf
Sm 150.36 Sm.upf
CELL_PARAMETERS angstrom
-6.086 -0.902 0.311
3.473 -0.695 5.041
-0.662 11.743 0.823
ATOMIC_POSITIONS crystal
Tb 0.333 0.667 0.000
Tb 0.667 0.333 0.000
Er 0.833 0.167 0.500
Er 0.167 0.833 0.500
Er 0.500 0.500 0.500
Y 0.751 0.751 0.252
Y 0.915 0.582 0.748
Y 0.249 0.249 0.748
Y 0.418 0.085 0.252
Y 0.582 0.915 0.748
Y 0.085 0.418 0.252
Sm 0.000 0.000 0.000
```

---

VASP calculation (PBE) on a relaxed structure of AgRuPt2. Values from VASP.

Summary:
Raw total energy, eV per atom: -6.017
SG: No. 123
E above lowest polymorph, eV/f.u.: 0.031

Cell and atoms, written as Quantum ESPRESSO input:
```
&SYSTEM
  ibrav = 0, nat = 4, ntyp = 3
/
ATOMIC_SPECIES
Ru 101.07 Ru.upf
Pt 195.08 Pt.upf
Ag 107.87 Ag.upf
CELL_PARAMETERS angstrom
-2.165 -0.320 1.729
1.302 -2.134 1.237
3.422 5.122 5.233
ATOMIC_POSITIONS crystal
Ru 0.500 0.500 0.250
Pt 0.000 0.000 0.479
Pt 0.000 0.000 0.021
Ag 0.500 0.500 0.750
```

---

VASP calculation (PBE) on a relaxed structure of SnSb2Au. Values from VASP.

Summary:
Raw total energy, eV per atom: -3.859
SG: No. 160
E_form (uncorrected), eV/atom: 0.02

Cell and atoms, written as Quantum ESPRESSO input:
```
&SYSTEM
  ibrav = 0, nat = 4, ntyp = 3
/
ATOMIC_SPECIES
Au 196.97 Au.upf
Sb 121.76 Sb.upf
Sn 118.71 Sn.upf
CELL_PARAMETERS angstrom
4.288 0.000 0.000
2.144 3.714 0.000
2.144 1.238 6.833
ATOMIC_POSITIONS crystal
Au 0.668 0.668 0.996
Sb 0.261 0.261 0.216
Sb 0.069 0.069 0.794
Sn 0.502 0.502 0.494
```

---

VASP calculation (PBE) on a relaxed structure of Cd2CoMo. Values from VASP.

Summary:
Raw total energy, eV per atom: -4.365
SG: No. 139
E above lowest polymorph, eV/f.u.: 1.564

Cell and atoms, written as Quantum ESPRESSO input:
```
&SYSTEM
  ibrav = 0, nat = 4, ntyp = 3
/
ATOMIC_SPECIES
Cd 112.41 Cd.upf
Co 58.93 Co.upf
Mo 95.94 Mo.upf
CELL_PARAMETERS angstrom
5.119 -0.015 0.000
2.022 4.703 0.000
-3.570 -2.344 2.822
ATOMIC_POSITIONS crystal
Cd 0.500 0.500 0.000
Cd 0.000 0.000 0.000
Co 0.250 0.750 0.500
Mo 0.750 0.250 0.500
```

---

VASP calculation (PBE) on a relaxed structure of NaMg4Cd8. Values from VASP.

Summary:
Raw total energy, eV per atom: -1.220
SG: No. 139

Cell and atoms, written as Quantum ESPRESSO input:
```
&SYSTEM
  ibrav = 0, nat = 13, ntyp = 3
/
ATOMIC_SPECIES
Cd 112.41 Cd.upf
Mg 24.30 Mg.upf
Na 22.99 Na.upf
CELL_PARAMETERS angstrom
5.671 0.000 2.280
2.836 7.054 1.140
0.205 0.000 7.685
ATOMIC_POSITIONS crystal
Cd 0.500 0.217 0.783
Cd 0.000 0.655 0.345
Cd 0.717 0.783 0.783
Cd 0.283 0.217 0.217
Cd 0.655 0.345 0.345
Cd 0.000 0.345 0.655
Cd 0.345 0.655 0.655
Cd 0.500 0.783 0.217
Mg 0.000 0.500 0.000
Mg 0.500 0.500 0.000
Mg 0.500 0.000 0.500
Mg 0.000 0.000 0.500
Na 0.000 0.000 0.000
```

---

VASP calculation (PBE) on a relaxed structure of CdIr2W. Values from VASP.

Summary:
Raw total energy, eV per atom: -7.747
SG: No. 25

Cell and atoms, written as Quantum ESPRESSO input:
```
&SYSTEM
  ibrav = 0, nat = 4, ntyp = 3
/
ATOMIC_SPECIES
Cd 112.41 Cd.upf
Ir 192.22 Ir.upf
W 183.84 W.upf
CELL_PARAMETERS angstrom
4.622 0.000 0.000
0.000 2.843 -0.008
0.000 0.018 4.865
ATOMIC_POSITIONS crystal
Cd 0.500 0.626 0.806
Ir 0.500 0.125 0.303
Ir 0.000 0.125 0.947
W 0.000 0.624 0.444
```

---

VASP calculation (PBE) on a relaxed structure of Ca2EuPb. Values from VASP.

Summary:
Raw total energy, eV per atom: -4.711
SG: No. 225
E above lowest polymorph, eV/f.u.: 0.567

Cell and atoms, written as Quantum ESPRESSO input:
```
&SYSTEM
  ibrav = 0, nat = 4, ntyp = 3
/
ATOMIC_SPECIES
Ca 40.08 Ca.upf
Eu 151.96 Eu.upf
Pb 207.20 Pb.upf
CELL_PARAMETERS angstrom
5.757 0.000 0.000
2.879 4.986 0.000
2.879 1.662 4.701
ATOMIC_POSITIONS crystal
Ca 0.750 0.750 0.750
Ca 0.250 0.250 0.250
Eu 0.000 0.000 0.000
Pb 0.500 0.500 0.500
```

---

VASP calculation (PBE) on a relaxed structure of Ti2AlZnO. Values from VASP.

Summary:
Raw total energy, eV per atom: -6.025
SG: No. 123
E_form (uncorrected), eV/atom: -0.87

Cell and atoms, written as Quantum ESPRESSO input:
```
&SYSTEM
  ibrav = 0, nat = 5, ntyp = 4
/
ATOMIC_SPECIES
Al 26.98 Al.upf
O 16.00 O.upf
Ti 47.87 Ti.upf
Zn 65.41 Zn.upf
CELL_PARAMETERS angstrom
-3.268 0.270 2.336
-2.627 -0.528 -3.615
0.057 -3.989 0.541
ATOMIC_POSITIONS crystal
Al 0.500 0.500 0.500
O 0.000 0.000 0.000
Ti 0.000 0.000 0.500
Ti 0.500 0.000 0.000
Zn 0.000 0.500 0.000
```

---

VASP calculation (PBE) on a relaxed structure of Ti3Mn2PbS8. Values from VASP.

Summary:
Raw total energy, eV per atom: -6.542
SG: No. 160
E_form (uncorrected), eV/atom: -0.92

Cell and atoms, written as Quantum ESPRESSO input:
```
&SYSTEM
  ibrav = 0, nat = 14, ntyp = 4
/
ATOMIC_SPECIES
S 32.06 S.upf
Ti 47.87 Ti.upf
Pb 207.20 Pb.upf
Mn 54.94 Mn.upf
CELL_PARAMETERS angstrom
-7.316 1.189 0.584
-3.235 0.051 6.694
-2.597 5.871 2.829
ATOMIC_POSITIONS crystal
S 0.318 0.704 0.274
S 0.732 0.249 0.769
S 0.249 0.732 0.769
S 0.704 0.318 0.274
S 0.704 0.704 0.274
S 0.249 0.249 0.769
S 0.750 0.750 0.749
S 0.257 0.257 0.229
Ti 0.503 0.503 0.985
Ti 0.008 0.503 0.985
Ti 0.503 0.008 0.985
Pb 0.921 0.921 0.238
Mn 0.473 0.473 0.580
Mn 0.120 0.120 0.641
```

---

VASP calculation (PBE) on a relaxed structure of SrLa. Values from VASP.

Summary:
Raw total energy, eV per atom: -3.149
SG: No. 227
E above lowest polymorph, eV/f.u.: 0.189

Cell and atoms, written as Quantum ESPRESSO input:
```
&SYSTEM
  ibrav = 0, nat = 32, ntyp = 2
/
ATOMIC_SPECIES
La 138.91 La.upf
Sr 87.62 Sr.upf
CELL_PARAMETERS angstrom
11.191 0.000 0.000
0.000 11.191 0.000
0.000 0.000 11.191
ATOMIC_POSITIONS crystal
La 0.125 0.875 0.875
La 0.125 0.625 0.625
La 0.375 0.875 0.625
La 0.625 0.375 0.875
La 0.125 0.375 0.375
La 0.625 0.625 0.125
La 0.875 0.625 0.375
La 0.375 0.125 0.375
La 0.125 0.125 0.125
La 0.875 0.375 0.625
La 0.375 0.375 0.125
La 0.625 0.875 0.375
La 0.375 0.625 0.875
La 0.875 0.875 0.125
La 0.875 0.125 0.875
La 0.625 0.125 0.625
Sr 0.125 0.625 0.125
Sr 0.875 0.625 0.875
Sr 0.375 0.125 0.875
Sr 0.375 0.875 0.125
Sr 0.375 0.625 0.375
Sr 0.875 0.875 0.625
Sr 0.375 0.375 0.625
Sr 0.625 0.625 0.625
Sr 0.625 0.875 0.875
Sr 0.875 0.125 0.375
Sr 0.125 0.875 0.375
Sr 0.625 0.375 0.375
Sr 0.875 0.375 0.125
Sr 0.125 0.125 0.625
Sr 0.125 0.375 0.875
Sr 0.625 0.125 0.125
```

---

VASP calculation (PBE) on a relaxed structure of Fe3Co2Ir4. Values from VASP.

Summary:
Raw total energy, eV per atom: -8.347
SG: No. 12

Cell and atoms, written as Quantum ESPRESSO input:
```
&SYSTEM
  ibrav = 0, nat = 9, ntyp = 3
/
ATOMIC_SPECIES
Fe 55.84 Fe.upf
Co 58.93 Co.upf
Ir 192.22 Ir.upf
CELL_PARAMETERS angstrom
-2.056 -3.028 0.779
0.561 -3.424 -2.840
5.233 -5.021 3.285
ATOMIC_POSITIONS crystal
Fe 0.334 0.772 0.560
Fe 0.666 0.228 0.440
Fe 0.000 0.000 0.000
Co 0.330 0.115 0.224
Co 0.670 0.885 0.776
Ir 0.334 0.443 0.888
Ir 0.010 0.317 0.663
Ir 0.666 0.557 0.112
Ir 0.990 0.683 0.337
```